Here is a relaxed Ti3Al8Rh4 crystal from Alexandria. Energies are from PBE-GGA.

Cell lengths 8.603, 8.603, 8.603 Å; angles 60.00, 60.00, 60.00 degrees
Sites, in units of the cell vectors:
Ti: 0.211 0.211 0.789
Ti: 0.211 0.789 0.211
Ti: 0.211 0.789 0.789
Ti: 0.789 0.211 0.211
Ti: 0.789 0.211 0.789
Ti: 0.789 0.789 0.211
Al: 0.136 0.621 0.621
Al: 0.156 0.156 0.156
Al: 0.156 0.156 0.533
Al: 0.156 0.533 0.156
Al: 0.379 0.379 0.379
Al: 0.379 0.379 0.864
Al: 0.379 0.864 0.379
Al: 0.467 0.844 0.844
Al: 0.533 0.156 0.156
Al: 0.621 0.136 0.621
Al: 0.621 0.621 0.136
Al: 0.621 0.621 0.621
Al: 0.844 0.467 0.844
Al: 0.844 0.844 0.467
Al: 0.844 0.844 0.844
Al: 0.864 0.379 0.379
Rh: 0.000 0.000 0.000
Rh: 0.000 0.000 0.500
Rh: 0.000 0.500 0.000
Rh: 0.000 0.500 0.500
Rh: 0.500 0.000 0.000
Rh: 0.500 0.000 0.500
Rh: 0.500 0.500 0.000
Rh: 0.500 0.500 0.500

formation enthalpy at 0 K: -0.778 eV/atom